# RbScP3, PBEsol geometry, DFT SCAN
# - total magnetic moment (μB per formula unit) = 0.0
# - uncorrected energy (eV/atom) = -13.317
# - formation energy from the elements (eV per atom) = -0.08
data_RbScP3
_chemical_formula_sum 'Rb1 Sc1 P3'
_cell_length_a 4.9898
_cell_length_b 4.9898
_cell_length_c 4.9898
_cell_angle_alpha 90.00
_cell_angle_beta 90.00
_cell_angle_gamma 90.00
_symmetry_space_group_name_H-M 'P m -3 m'
_symmetry_Int_Tables_number 221
_symmetry_space_group_name_Hall '-P 4 2 3'
loop_
_atom_site_label
_atom_site_fract_x
_atom_site_fract_y
_atom_site_fract_z
Rb1 0.0000 0.0000 0.0000
Sc1 0.5000 0.5000 0.5000
P1 0.0000 0.5000 0.5000